No. 1
Here is a geometry-optimized Ac3ZnSn6Pd2 structure from Alexandria via LeMat-Bulk. Energies are from GGA-PBE.

The calculation puts the formation energy at -0.3291 eV per atom. Its total magnetic moment is 0.00 μB per formula unit. Its uncorrected energy is -51.95 eV/cell. The value obtained for the calculated density is 7.77 g cm⁻³.

It has space group P-3m1 (No. 164), with a = 6.4448 Å, b = 6.4448 Å, c = 9.9244 Å, α = 90.00°, β = 90.00° and γ = 120.00°. Symmetry generates all atoms from Ac at (0.0000, 0.0000, 0.0000), Ac at (0.3333, 0.6667, 0.5898), Zn at (0.0000, 0.0000, 0.5000), Sn at (0.1735, 0.3469, 0.2774) and Pd at (0.3333, 0.6667, 0.0640).


No. 2
Here is a geometry-optimized Ac2Zn3Sn4Pd structure from Alexandria via LeMat-Bulk. Energies are from GGA-PBE.

The calculation puts the formation energy at -0.5133 eV per atom. Its total magnetic moment is 0.00 μB per formula unit. Its uncorrected energy is -38.38 eV/cell. The value obtained for the calculated density is 8.29 g cm⁻³.

It has space group P-4m2 (No. 115), with a = 4.7045 Å, b = 4.7045 Å, c = 11.1448 Å, α = 90.00°, β = 90.00° and γ = 90.00°. Symmetry generates all atoms from Ac at (0.0000, 0.5000, 0.2345), Zn at (0.0000, 0.0000, 0.0000), Zn at (0.0000, 0.5000, 0.6392), Sn at (0.0000, 0.0000, 0.5000), Sn at (0.0000, 0.5000, 0.8746), Sn at (0.5000, 0.5000, 0.5000) and Pd at (0.5000, 0.5000, 0.0000).


No. 3
Here is a geometry-optimized Ac2ZnSnPd6 structure from Alexandria via LeMat-Bulk. Energies are from GGA-PBE.

The calculation puts the formation energy at -0.6841 eV per atom. Its total magnetic moment is 0.00 μB per formula unit. Its uncorrected energy is -102.98 eV/cell. The value obtained for the calculated density is 9.61 g cm⁻³.

It has space group C2/m (No. 12), with a = 12.4198 Å, b = 5.6494 Å, c = 8.7926 Å, α = 90.00°, β = 134.37° and γ = 90.00°. Symmetry generates all atoms from Ac at (0.2426, 0.0000, 0.2729), Zn at (0.0000, 0.5000, 0.0000), Sn at (0.0000, 0.0000, 0.5000), Pd at (0.0066, 0.2549, 0.2530) and Pd at (0.2462, 0.5000, 0.0847).


No. 4
Here is a geometry-optimized SrAc2Pd9 structure from Alexandria via LeMat-Bulk. Energies are from GGA-PBE.

The calculation puts the formation energy at -0.6409 eV per atom. Its total magnetic moment is 0.00 μB per formula unit. Its uncorrected energy is -128.65 eV/cell. The value obtained for the calculated density is 10.17 g cm⁻³.

It has space group P6_3/mmc (No. 194), with a = 5.5530 Å, b = 5.5530 Å, c = 18.3433 Å, α = 90.00°, β = 90.00° and γ = 120.00°. Symmetry generates all atoms from Sr at (0.3333, 0.6667, 0.2500), Ac at (0.3333, 0.6667, 0.0459), Pd at (0.0000, 0.0000, 0.0000), Pd at (0.0000, 0.0000, 0.2500), Pd at (0.1680, 0.3360, 0.6246) and Pd at (0.3333, 0.6667, 0.7500).